Entry from Alexandria via LeMat-Bulk: crystalline ZnInAg14 at its relaxed geometry (PBE-GGA).

Lattice parameters (Å, degrees): 9.5547 6.1223 9.8483 90.00 90.00 90.00
Last column: nearest neighbours and their distance in Å.
Space group Amm2 (No. 38)
Inequivalent atoms, fractional coordinates:
Zn (0.0000, 0.0000, 0.0000) (multiplicity 2)  10 Ag 2.90-2.96, 2 In 3.06
In (0.0000, 0.0000, 0.5031) (multiplicity 2)  10 Ag 2.90-3.00, 2 Zn 3.06
Ag (0.0000, 0.2468, 0.2515) (multiplicity 4)  2 In 2.90, 2 Zn 2.90, 8 Ag 2.92-3.10
Ag (0.2486, 0.0000, 0.8210) (multiplicity 4)  11 Ag 2.88-3.06, 1 Zn 2.96
Ag (0.2494, 0.2437, 0.0715) (multiplicity 8)  10 Ag 2.88-3.14, 1 Zn 2.90, 1 In 2.93
Ag (0.2541, 0.0000, 0.3233) (multiplicity 4)  11 Ag 2.89-3.06, 1 In 3.00
Ag (0.5000, 0.0000, 0.1473) (multiplicity 2)  12 Ag 2.89-3.06
Ag (0.5000, 0.0000, 0.6449) (multiplicity 2)  12 Ag 2.89-3.06
Ag (0.5000, 0.2468, 0.8966) (multiplicity 4)  12 Ag 2.89-3.10

Values from the calculation:
The value obtained for the total energy is -43.61 eV/f.u. The formation energy comes out at 0.020 eV per atom.

---

Entry from Alexandria via LeMat-Bulk: crystalline KLaAs2Br at its relaxed geometry (PBE-GGA).

Lattice parameters (Å, degrees): 5.7700 5.7700 6.0204 90.00 90.00 90.00
Last column: nearest neighbours and their distance in Å.
Space group P4/mmm (No. 123)
Inequivalent atoms, fractional coordinates:
K (0.0000, 0.0000, 0.0000) (multiplicity 1)  4 Br 4.08, 8 As 4.17
La (0.5000, 0.5000, 0.5000) (multiplicity 1)  4 As 2.88, 2 Br 3.01
As (0.0000, 0.5000, 0.5000) (multiplicity 2)  2 La 2.88
Br (0.5000, 0.5000, 0.0000) (multiplicity 1)  2 La 3.01

Values from the calculation:
The value obtained for the total energy is -19.83 eV/f.u. The value obtained for the formation energy without anion corrections is -0.5676 eV/atom.

---

Entry from Alexandria via LeMat-Bulk: crystalline Ca2CrW at its relaxed geometry (PBE-GGA).

Lattice parameters (Å, degrees): 7.0464 7.0464 7.0464 90.00 90.00 90.00
Last column: nearest neighbours and their distance in Å.
Space group F-43m (No. 216)
Inequivalent atoms, fractional coordinates:
Ca (0.0000, 0.0000, 0.0000) (multiplicity 4)  4 W 3.05, 4 Ca 3.05
Ca (0.2500, 0.2500, 0.2500) (multiplicity 4)  4 Cr 3.05, 4 Ca 3.05
Cr (0.0000, 0.0000, 0.5000) (multiplicity 4)  4 W 3.05, 4 Ca 3.05
W (0.2500, 0.2500, 0.7500) (multiplicity 4)  4 Cr 3.05, 4 Ca 3.05

Values from the calculation:
The value obtained for the total energy is -22.83 eV/f.u. The formation energy comes out at 0.938 eV per atom.

---

Entry from Alexandria via LeMat-Bulk: crystalline Mg2Tl8Pb at its relaxed geometry (PBE-GGA).

Lattice parameters (Å, degrees): 13.4895 10.5156 5.1771 90.00 101.31 90.00
Last column: nearest neighbours and their distance in Å.
Space group C2/m (No. 12)
Inequivalent atoms, fractional coordinates:
Mg (0.1302, 0.0000, 0.0547) (multiplicity 4)  4 Tl 3.01-3.18, 2 Pb 3.06-3.16
Tl (0.0891, 0.2691, 0.2914) (multiplicity 8)  1 Mg 3.18, 5 Tl 3.23-3.54, 1 Pb 3.34
Tl (0.0959, 0.5000, 0.7930) (multiplicity 4)  9 Tl 3.27-3.58, 1 Mg 3.62
Tl (0.2497, 0.0000, 0.6215) (multiplicity 4)  2 Mg 3.01-3.06, 4 Tl 3.23-3.32, 1 Pb 3.30
Pb (0.0000, 0.0000, 0.5000) (multiplicity 2)  4 Mg 3.06-3.16, 6 Tl 3.30-3.34

Values from the calculation:
The value obtained for the total energy is -24.64 eV/f.u. The formation energy comes out at 0.108 eV per atom.